(1)
Here is NdY3Cu after structural relaxation from the Alexandria database. Energies are from GGA-PBE.

Results
The calculated total energy comes out at -5.584 eV/atom.

Lattice parameters (Å, degrees): 5.415 5.415 5.415 90.00 90.00 90.00
Fractional positions:
Nd  0.000  0.000  0.000
Y  0.000  0.500  0.500
Y  0.500  0.000  0.500
Y  0.500  0.500  0.000
Cu  0.500  0.500  0.500



(2)
Here is Nd4Y3Cu4 after structural relaxation from the Alexandria database. Energies are from GGA-PBE.

Results
The calculated total energy comes out at -5.018 eV/atom.

Lattice parameters (Å, degrees): 8.930 8.930 8.930 147.83 131.01 59.82
Fractional positions:
Nd  0.049  0.829  0.221
Nd  0.392  0.171  0.221
Nd  0.608  0.829  0.779
Nd  0.951  0.171  0.779
Y  0.000  0.500  0.500
Y  0.399  0.399  0.000
Y  0.601  0.601  0.000
Cu  0.197  0.697  0.500
Cu  0.336  0.000  0.336
Cu  0.664  0.000  0.664
Cu  0.803  0.303  0.500



(3)
Here is NdY2Cu after structural relaxation from the Alexandria database. Energies are from GGA-PBE.

Results
The value obtained for the energy relative to the lowest polymorph listed for this composition is 0.000 eV per atom.

Lattice parameters (Å, degrees): 3.534 3.534 8.798 90.00 90.00 90.00
Fractional positions:
Nd  0.000  0.000  0.000
Y  0.500  0.500  0.308
Y  0.500  0.500  0.692
Cu  0.000  0.000  0.500



(4)
Here is NdYCu2 after structural relaxation from the Alexandria database. Energies are from GGA-PBE.

Results
The value obtained for the energy relative to the lowest polymorph listed for this composition is 0.028 eV per atom.

Lattice parameters (Å, degrees): 5.009 5.009 5.009 60.00 60.00 60.00
Fractional positions:
Nd  0.000  0.000  0.000
Y  0.500  0.500  0.500
Cu  0.250  0.250  0.250
Cu  0.750  0.750  0.750



(5)
Here is Nd2YCu4 after structural relaxation from the Alexandria database. Energies are from GGA-PBE.

Results
The calculated total energy comes out at -4.781 eV/atom.

Lattice parameters (Å, degrees): 5.581 5.581 6.967 106.29 106.29 46.61
Fractional positions:
Nd  0.148  0.148  0.219
Nd  0.852  0.852  0.781
Y  0.500  0.500  0.500
Cu  0.150  0.150  0.761
Cu  0.403  0.403  0.078
Cu  0.597  0.597  0.922
Cu  0.850  0.850  0.239



(6)
Here is Nd3Zn2Cu4 after structural relaxation from the Alexandria database. Energies are from GGA-PBE.

Results
The value obtained for the energy relative to the lowest polymorph listed for this composition is 0.021 eV per atom.

Lattice parameters (Å, degrees): 5.540 5.540 8.473 98.27 98.27 45.54
Fractional positions:
Nd  0.000  0.000  0.000
Nd  0.375  0.375  0.622
Nd  0.625  0.625  0.378
Zn  0.319  0.319  0.225
Zn  0.681  0.681  0.775
Cu  0.083  0.083  0.638
Cu  0.269  0.269  0.922
Cu  0.731  0.731  0.078
Cu  0.917  0.917  0.362



(7)
Here is NdZn3Cu8 after structural relaxation from the Alexandria database. Energies are from GGA-PBE.

Results
The calculated total energy comes out at -3.504 eV/atom.

Lattice parameters (Å, degrees): 4.976 4.976 8.177 90.00 90.00 120.00
Fractional positions:
Nd  0.000  0.000  0.000
Zn  0.000  0.000  0.397
Zn  0.667  0.333  0.483
Zn  0.667  0.333  0.813
Cu  0.165  0.331  0.675
Cu  0.165  0.835  0.675
Cu  0.333  0.667  0.434
Cu  0.333  0.667  0.932
Cu  0.503  0.006  0.199
Cu  0.503  0.497  0.199
Cu  0.669  0.835  0.675
Cu  0.994  0.497  0.199



(8)
Here is NdZn2Cu4 after structural relaxation from the Alexandria database. Energies are from GGA-PBE.

Results
The value obtained for the energy relative to the lowest polymorph listed for this composition is 0.433 eV per atom.

Lattice parameters (Å, degrees): 5.773 5.773 5.773 102.10 102.10 125.51
Fractional positions:
Nd  0.000  0.000  0.000
Zn  0.250  0.750  0.500
Zn  0.750  0.250  0.500
Cu  0.273  0.500  0.773
Cu  0.500  0.273  0.773
Cu  0.500  0.727  0.227
Cu  0.727  0.500  0.227



(9)
Here is Nd3Zn7Cu2 after structural relaxation from the Alexandria database. Energies are from GGA-PBE.

Results
The calculated total energy comes out at -2.895 eV/atom.

Lattice parameters (Å, degrees): 9.298 9.298 9.298 34.11 34.11 34.11
Fractional positions:
Nd  0.000  0.000  0.000
Nd  0.142  0.142  0.142
Nd  0.858  0.858  0.858
Zn  0.076  0.580  0.580
Zn  0.420  0.420  0.924
Zn  0.420  0.924  0.420
Zn  0.500  0.500  0.500
Zn  0.580  0.076  0.580
Zn  0.580  0.580  0.076
Zn  0.924  0.420  0.420
Cu  0.334  0.334  0.334
Cu  0.666  0.666  0.666



(10)
Here is NdZnCu after structural relaxation from the Alexandria database. Energies are from GGA-PBE.

Results
The calculated total energy comes out at -3.626 eV/atom.

Lattice parameters (Å, degrees): 3.910 4.214 8.290 104.10 103.18 91.27
Fractional positions:
Nd  0.132  0.382  0.265
Nd  0.868  0.618  0.735
Zn  0.458  0.208  0.915
Zn  0.542  0.792  0.085
Cu  0.295  0.046  0.592
Cu  0.705  0.954  0.408



(11)
Here is Nd2Zn2Cu15 after structural relaxation from the Alexandria database. Energies are from GGA-PBE.

Results
The calculated total energy comes out at -3.995 eV/atom.

Lattice parameters (Å, degrees): 6.554 6.554 6.554 82.76 82.76 82.76
Fractional positions:
Nd  0.152  0.152  0.152
Nd  0.848  0.848  0.848
Zn  0.399  0.399  0.399
Zn  0.601  0.601  0.601
Cu  0.000  0.500  0.500
Cu  0.155  0.155  0.653
Cu  0.155  0.653  0.155
Cu  0.204  0.500  0.796
Cu  0.204  0.796  0.500
Cu  0.347  0.845  0.845
Cu  0.500  0.000  0.500
Cu  0.500  0.204  0.796
Cu  0.500  0.500  0.000
Cu  0.500  0.796  0.204
Cu  0.653  0.155  0.155
Cu  0.796  0.204  0.500
Cu  0.796  0.500  0.204
Cu  0.845  0.347  0.845
Cu  0.845  0.845  0.347



(12)
Here is NdZn2Cu8 after structural relaxation from the Alexandria database. Energies are from GGA-PBE.

Results
The calculated total energy comes out at -3.414 eV/atom.

Lattice parameters (Å, degrees): 6.245 6.245 4.783 90.00 90.00 90.00
Fractional positions:
Nd  0.000  0.000  0.000
Zn  0.000  0.500  0.500
Zn  0.500  0.000  0.500
Cu  0.305  0.305  0.249
Cu  0.305  0.305  0.751
Cu  0.305  0.695  0.249
Cu  0.305  0.695  0.751
Cu  0.695  0.305  0.249
Cu  0.695  0.305  0.751
Cu  0.695  0.695  0.249
Cu  0.695  0.695  0.751



(13)
Here is Nd6Zn3Cu after structural relaxation from the Alexandria database. Energies are from GGA-PBE.

Results
The calculated total energy comes out at -3.817 eV/atom.

Lattice parameters (Å, degrees): 9.475 5.122 11.676 90.00 109.35 90.00
Fractional positions:
Nd  0.016  0.250  0.398
Nd  0.155  0.750  0.185
Nd  0.225  0.250  0.004
Nd  0.375  0.750  0.851
Nd  0.378  0.250  0.636
Nd  0.381  0.250  0.355
Nd  0.619  0.750  0.645
Nd  0.622  0.750  0.364
Nd  0.625  0.250  0.149
Nd  0.775  0.750  0.996
Nd  0.845  0.250  0.815
Nd  0.984  0.750  0.602
Zn  0.041  0.750  0.879
Zn  0.121  0.250  0.729
Zn  0.263  0.750  0.475
Zn  0.737  0.250  0.525
Zn  0.879  0.750  0.271
Zn  0.959  0.250  0.121
Cu  0.424  0.750  0.116
Cu  0.576  0.250  0.884



(14)
Here is NdZn4Cu2 after structural relaxation from the Alexandria database. Energies are from GGA-PBE.

Results
The value obtained for the energy relative to the lowest polymorph listed for this composition is 0.000 eV per atom.

Lattice parameters (Å, degrees): 5.361 5.361 5.101 118.21 118.21 77.30
Fractional positions:
Nd  0.000  0.000  0.000
Zn  0.000  0.385  0.693
Zn  0.000  0.615  0.307
Zn  0.385  0.000  0.693
Zn  0.615  0.000  0.307
Cu  0.499  0.499  0.250
Cu  0.501  0.501  0.750



(15)
Here is NdZn5Cu7 after structural relaxation from the Alexandria database. Energies are from GGA-PBE.

Results
The calculated total energy comes out at -3.183 eV/atom.

Lattice parameters (Å, degrees): 6.663 6.663 6.663 136.23 97.62 98.35
Fractional positions:
Nd  0.000  0.000  0.000
Zn  0.003  0.007  0.498
Zn  0.003  0.505  0.996
Zn  0.229  0.729  0.500
Zn  0.510  0.007  0.004
Zn  0.510  0.505  0.502
Cu  0.235  0.506  0.729
Cu  0.359  0.359  0.000
Cu  0.363  0.007  0.356
Cu  0.647  0.647  0.000
Cu  0.651  0.007  0.644
Cu  0.778  0.506  0.271
Cu  0.781  0.281  0.500



(16)
Here is Nd2Zn12Cu5 after structural relaxation from the Alexandria database. Energies are from GGA-PBE.

Results
The calculated total energy comes out at -2.623 eV/atom.

Lattice parameters (Å, degrees): 6.747 6.747 6.747 82.70 82.70 82.70
Fractional positions:
Nd  0.162  0.162  0.162
Nd  0.838  0.838  0.838
Zn  0.156  0.156  0.646
Zn  0.156  0.646  0.156
Zn  0.213  0.500  0.787
Zn  0.213  0.787  0.500
Zn  0.354  0.844  0.844
Zn  0.500  0.213  0.787
Zn  0.500  0.787  0.213
Zn  0.646  0.156  0.156
Zn  0.787  0.213  0.500
Zn  0.787  0.500  0.213
Zn  0.844  0.354  0.844
Zn  0.844  0.844  0.354
Cu  0.000  0.500  0.500
Cu  0.400  0.400  0.400
Cu  0.500  0.000  0.500
Cu  0.500  0.500  0.000
Cu  0.600  0.600  0.600



(17)
Here is Nd2ZnCu3 after structural relaxation from the Alexandria database. Energies are from GGA-PBE.

Results
The calculated total energy comes out at -4.087 eV/atom.

Lattice parameters (Å, degrees): 8.683 8.372 5.763 73.19 67.37 39.44
Fractional positions:
Nd  0.245  0.755  0.755
Nd  0.250  0.250  0.250
Nd  0.750  0.750  0.750
Nd  0.755  0.245  0.245
Zn  0.333  0.333  0.667
Zn  0.667  0.667  0.333
Cu  0.165  0.165  0.835
Cu  0.167  0.667  0.333
Cu  0.333  0.833  0.167
Cu  0.667  0.167  0.833
Cu  0.833  0.333  0.667
Cu  0.835  0.835  0.165



(18)
Here is Nd3Zn4Cu2 after structural relaxation from the Alexandria database. Energies are from GGA-PBE.

Results
The value obtained for the energy relative to the lowest polymorph listed for this composition is 0.016 eV per atom.

Lattice parameters (Å, degrees): 5.458 5.458 8.730 102.12 102.12 49.25
Fractional positions:
Nd  0.000  0.000  0.000
Nd  0.375  0.375  0.303
Nd  0.625  0.625  0.697
Zn  0.103  0.103  0.424
Zn  0.284  0.284  0.929
Zn  0.716  0.716  0.071
Zn  0.897  0.897  0.576
Cu  0.325  0.325  0.660
Cu  0.675  0.675  0.340



(19)
Here is Nd6ZnCu5 after structural relaxation from the Alexandria database. Energies are from GGA-PBE.

Results
The calculated total energy comes out at -4.364 eV/atom.

Lattice parameters (Å, degrees): 5.119 7.184 8.097 90.00 108.51 90.00
Fractional positions:
Nd  0.000  0.244  0.000
Nd  0.000  0.756  0.000
Nd  0.332  0.248  0.662
Nd  0.332  0.752  0.662
Nd  0.668  0.248  0.338
Nd  0.668  0.752  0.338
Zn  0.500  0.500  0.000
Cu  0.159  0.500  0.321
Cu  0.165  0.000  0.333
Cu  0.500  0.000  0.000
Cu  0.835  0.000  0.667
Cu  0.841  0.500  0.679



(20)
Here is Nd3Zn2Cu7 after structural relaxation from the Alexandria database. Energies are from GGA-PBE.

Results
The calculated total energy comes out at -3.825 eV/atom.

Lattice parameters (Å, degrees): 13.892 13.892 13.892 163.14 163.14 23.93
Fractional positions:
Nd  0.000  0.000  0.000
Nd  0.173  0.173  0.000
Nd  0.827  0.827  0.000
Zn  0.372  0.372  0.000
Zn  0.628  0.628  0.000
Cu  0.077  0.577  0.500
Cu  0.279  0.279  0.000
Cu  0.423  0.923  0.500
Cu  0.500  0.500  0.000
Cu  0.577  0.077  0.500
Cu  0.721  0.721  0.000
Cu  0.923  0.423  0.500



(21)
Here is NdZnCu after structural relaxation from the Alexandria database. Energies are from GGA-PBE.

Results
The calculated total energy comes out at -3.658 eV/atom.

Lattice parameters (Å, degrees): 5.491 5.491 7.151 126.18 126.18 47.94
Fractional positions:
Nd  0.045  0.045  0.295
Nd  0.955  0.955  0.705
Zn  0.328  0.328  0.890
Zn  0.672  0.672  0.110
Cu  0.341  0.341  0.293
Cu  0.659  0.659  0.707



(22)
Here is Nd3Zn9Cu2 after structural relaxation from the Alexandria database. Energies are from GGA-PBE.

Results
The calculated total energy comes out at -2.719 eV/atom.

Lattice parameters (Å, degrees): 8.231 8.231 8.231 148.76 114.18 74.65
Fractional positions:
Nd  0.000  0.000  0.000
Nd  0.301  0.301  0.000
Nd  0.699  0.699  0.000
Zn  0.016  0.659  0.357
Zn  0.152  0.868  0.284
Zn  0.301  0.659  0.643
Zn  0.416  0.132  0.284
Zn  0.500  0.000  0.500
Zn  0.584  0.868  0.716
Zn  0.699  0.341  0.357
Zn  0.848  0.132  0.716
Zn  0.984  0.341  0.643
Cu  0.311  0.500  0.811
Cu  0.689  0.500  0.189



Looking at DOS at the Fermi energy for the records above, in order, we have 5.9; 8.5; 4.3; 3.9; 5.0; 6.8; 5.4; 2.6; 8.2; 4.5; 9.5; 5.3; 19.4; 2.4; 5.5; 7.6; 7.3; 6.5; 9.2; 5.1; 4.8; 9.8 states/eV/cell.